Here is MnRu3O after structural relaxation from the Alexandria database. Energies are from GGA+U.

abc: 4.5626 4.5626 4.5626
angles: 90.00 90.00 90.00
Space group Pm-3m (No. 221)
Symmetry-distinct sites (fractional):
Mn1 0.0000 0.0000 0.0000 x1
Ru1 0.0000 0.0000 0.5000 x3
O1 0.5000 0.5000 0.5000 x1

Properties
D(E_F) (states/eV/cell): 3.0
Energy relative to the lowest polymorph listed for this composition (eV per atom): 2.082
Magnetization (μB per cell): 3.14
Uncorrected energy (eV per atom): -5.719